Record 1
Here is a relaxed K2TlIn4Au3 crystal from the Alexandria database. Energies are from PBE.

```
K2TlIn4Au3
1.0
5.063 0.000 0.000
0.000 5.063 0.000
0.000 0.000 11.127
K Tl In Au
2 1 4 3
direct
0.000 0.500 0.248
0.500 0.000 0.752
0.500 0.500 0.000
0.000 0.000 0.500
0.000 0.500 0.862
0.500 0.000 0.138
0.500 0.500 0.500
0.000 0.000 0.000
0.000 0.500 0.614
0.500 0.000 0.386
```

* formation energy from the elements: -238 meV per atom
* N(E_F): 0.385 states/eV per atom
* DFT total energy: -0.1019 hartree per atom

Record 2
Here is a relaxed KTl2InAu crystal from the Alexandria database. Energies are from PBE.

```
KTl2InAu
1.0
5.699 0.000 0.000
0.000 5.699 0.000
0.000 0.000 5.469
K Tl In Au
1 2 1 1
direct
0.000 0.000 0.000
0.000 0.500 0.500
0.500 0.000 0.500
0.500 0.500 0.000
0.500 0.500 0.500
```

* formation energy from the elements: 18 meV per atom
* N(E_F): 0.528 states/eV per atom
* DFT total energy: -0.0864 hartree per atom

Record 3
Here is a relaxed K2TlInAu crystal from the Alexandria database. Energies are from PBE.

```
K2TlInAu
1.0
6.297 0.000 0.000
0.000 6.297 0.000
0.000 0.000 5.242
K Tl In Au
2 1 1 1
direct
0.000 0.500 0.000
0.500 0.000 0.000
0.000 0.000 0.500
0.500 0.500 0.500
0.500 0.500 0.000
```

* formation energy from the elements: -37 meV per atom
* N(E_F): 0.838 states/eV per atom
* DFT total energy: -0.0791 hartree per atom

Record 4
Here is a relaxed KTlInAu2 crystal from the Alexandria database. Energies are from PBE.

```
KTlInAu2
1.0
-2.434 2.434 5.946
2.434 -2.434 5.946
2.434 2.434 -5.946
K Tl In Au
1 1 1 2
direct
0.000 0.000 0.000
0.250 0.750 0.500
0.750 0.250 0.500
0.385 0.385 0.000
0.615 0.615 0.000
```

* formation energy from the elements: -223 meV per atom
* N(E_F): 0.526 states/eV per atom
* DFT total energy: -0.1020 hartree per atom

Record 5
Here is a relaxed K2Tl3InAu4 crystal from the Alexandria database. Energies are from PBE.

```
K2Tl3InAu4
1.0
5.097 0.000 0.000
0.000 5.097 0.000
0.000 0.000 11.179
K Tl In Au
2 3 1 4
direct
0.000 0.500 0.236
0.500 0.000 0.764
0.000 0.500 0.875
0.500 0.000 0.125
0.500 0.500 0.500
0.000 0.000 0.500
0.000 0.000 0.000
0.000 0.500 0.620
0.500 0.000 0.380
0.500 0.500 0.000
```

* formation energy from the elements: -199 meV per atom
* N(E_F): 0.500 states/eV per atom
* DFT total energy: -0.0997 hartree per atom

Record 6
Here is a relaxed KZnInAu3 crystal from the Alexandria database. Energies are from PBE.

```
KZnInAu3
1.0
3.268 -6.423 0.000
3.268 6.423 0.000
0.000 0.000 7.510
K Zn In Au
2 2 2 6
direct
0.211 0.789 0.750
0.789 0.211 0.250
0.478 0.522 0.750
0.522 0.478 0.250
0.110 0.890 0.250
0.890 0.110 0.750
0.233 0.233 0.000
0.233 0.233 0.500
0.320 0.680 0.250
0.680 0.320 0.750
0.767 0.767 0.000
0.767 0.767 0.500
```

* formation energy from the elements: -174 meV per atom
* N(E_F): 0.292 states/eV per atom
* DFT total energy: -0.0979 hartree per atom